# 1
Material: PuCdPN
Method: DFT, PBE
State: optimized geometry

Results
Symmetry = R-3m
Magnetization = 4.00 μB/f.u.
ΔE_f (raw) = -0.694 eV/atom
Density of states at the Fermi level = 9.8 states/eV per cell

Cell: 10.7539 10.7539 10.7539 Å, 21.48 21.48 21.48°
Last column: nearest neighbours and their distance in Å.
Fractional positions:
Pu 0.1240 0.1240 0.1240  4 N 2.15-2.37
Pu 0.8760 0.8760 0.8760  4 N 2.15-2.37
Cd 0.3022 0.3022 0.3022  3 P 2.54
Cd 0.6978 0.6978 0.6978  3 P 2.54
P 0.3979 0.3979 0.3979  3 Cd 2.54
P 0.6021 0.6021 0.6021  3 Cd 2.54
N 0.1924 0.1924 0.1924  4 Pu 2.15-2.37
N 0.8076 0.8076 0.8076  4 Pu 2.15-2.37


# 2
Material: CdPSe2N
Method: DFT, PBE
State: optimized geometry

Results
Symmetry = P4/mmm
Magnetization = 2.13 μB/f.u.
ΔE_f (raw) = 1.449 eV/atom
Energy relative to the lowest polymorph listed for this composition = 1.076 eV per atom
Density of states at the Fermi level = 3.5 states/eV per cell

Cell: 5.2835 5.2835 4.1305 Å, 90.00 90.00 90.00°
Last column: nearest neighbours and their distance in Å.
Fractional positions:
Cd 0.0000 0.0000 0.0000  2 N 2.07
P 0.5000 0.5000 0.5000  8 Se 3.35, 4 N 3.74
Se 0.0000 0.5000 0.0000  2 Cd 2.64
Se 0.5000 0.0000 0.0000  2 Cd 2.64
N 0.0000 0.0000 0.5000  2 Cd 2.07


Question: Which of these has the highest magnetization?
Answer: PuCdPN


Copy entry 1 word for word.
Material: PuCdPN
Method: DFT, PBE
State: optimized geometry

Results
Symmetry = R-3m
Magnetization = 4.00 μB/f.u.
ΔE_f (raw) = -0.694 eV/atom
Density of states at the Fermi level = 9.8 states/eV per cell

Cell: 10.7539 10.7539 10.7539 Å, 21.48 21.48 21.48°
Last column: nearest neighbours and their distance in Å.
Fractional positions:
Pu 0.1240 0.1240 0.1240  4 N 2.15-2.37
Pu 0.8760 0.8760 0.8760  4 N 2.15-2.37
Cd 0.3022 0.3022 0.3022  3 P 2.54
Cd 0.6978 0.6978 0.6978  3 P 2.54
P 0.3979 0.3979 0.3979  3 Cd 2.54
P 0.6021 0.6021 0.6021  3 Cd 2.54
N 0.1924 0.1924 0.1924  4 Pu 2.15-2.37
N 0.8076 0.8076 0.8076  4 Pu 2.15-2.37


Question: Which of these has the lowest density of states at the Fermi level?
Answer: CdPSe2N